(1)
# La4InBr, relaxed, DFT GGA-PBE
data_La4InBr
_space_group_name_H-M_alt 'F -4 3 m'
_space_group_IT_number 216
_space_group_name_Hall 'F -4 2 3'
_cell_length_a 9.262
_cell_length_b 9.262
_cell_length_c 9.262
_cell_angle_alpha 90.00
_cell_angle_beta 90.00
_cell_angle_gamma 90.00
loop_
_atom_site_label
_atom_site_type_symbol
_atom_site_fract_x
_atom_site_fract_y
_atom_site_fract_z
La1 La 0.122 0.122 0.378
In1 In 0.250 0.250 0.750
Br1 Br 0.000 0.000 0.000
# energy relative to the elements, uncorrected = -0.026 eV per atom

(2)
# Ta2NiOs2, relaxed, DFT GGA-PBE
data_Ta2NiOs2
_space_group_name_H-M_alt 'P 4/m b m'
_space_group_IT_number 127
_space_group_name_Hall '-P 4 2ab'
_cell_length_a 7.365
_cell_length_b 7.365
_cell_length_c 3.063
_cell_angle_alpha 90.00
_cell_angle_beta 90.00
_cell_angle_gamma 90.00
loop_
_atom_site_label
_atom_site_type_symbol
_atom_site_fract_x
_atom_site_fract_y
_atom_site_fract_z
Ta1 Ta 0.160 0.340 0.000
Ni1 Ni 0.000 0.000 0.500
Os1 Os 0.139 0.639 0.500
# DFT formation energy = 0.0810 eV/atom

(3)
# PmNpTlO6, relaxed, DFT GGA-PBE
data_PmNpTlO6
_space_group_name_H-M_alt 'P -3 1 c'
_space_group_IT_number 163
_space_group_name_Hall '-P 3 2c'
_cell_length_a 5.6438
_cell_length_b 5.6438
_cell_length_c 10.2132
_cell_angle_alpha 90.00
_cell_angle_beta 90.00
_cell_angle_gamma 120.00
loop_
_atom_site_label
_atom_site_type_symbol
_atom_site_fract_x
_atom_site_fract_y
_atom_site_fract_z
Pm1 Pm 0.0000 0.0000 0.0000
Np1 Np 0.3333 0.6667 0.2500
Tl1 Tl 0.3333 0.6667 0.7500
O1 O 0.0291 0.3597 0.1344
# energy relative to the elements, uncorrected = -2.330 eV per atom

no.,M_tot (μB/atom),volume (Å³ per cell)
1,0.00,794.54
2,0.00,166.19
3,0.11,281.73